No. 1
This record from the Alexandria database describes Pa8Ge5Se3 after structural relaxation. The functional is PBE.

Values from the calculation:
M_tot ... 0.0 μB/cell
DOS(E_F) ... 20.04 states/eV per cell
Symmetry ... R-3m, No. 166
Uncorrected formation energy ... -0.773 eV per atom
E ... -121.88 eV for the cell shown

Cell: 8.2524 8.2524 8.2004 Å, 59.79 59.79 60.00°
Element x y z (fractional)
Pa 0.2500 0.2500 0.7519
Pa 0.2500 0.7480 0.7519
Pa 0.7480 0.2500 0.7519
Pa 0.7491 0.7491 0.7526
Pa 0.7500 0.7500 0.2481
Pa 0.7500 0.2520 0.2481
Pa 0.2520 0.7500 0.2481
Pa 0.2509 0.2509 0.2474
Ge 0.5000 0.0000 0.0000
Ge 0.5000 0.5000 0.0000
Ge 0.0000 0.0000 0.0000
Ge 0.0000 0.5000 0.0000
Ge 0.5000 0.5000 0.5000
Se 0.5000 0.0000 0.5000
Se 0.0000 0.0000 0.5000
Se 0.0000 0.5000 0.5000

No. 2
This record from the Alexandria database describes Pa2Ge2Se7 after structural relaxation. The functional is PBE.

Values from the calculation:
ΔE to the lowest computed polymorph ... 39 meV/atom
M_tot ... 0.0 μB/cell
Symmetry ... C2/m, No. 12
Uncorrected formation energy ... -0.779 eV per atom
E ... -61.18 eV for the cell shown

Cell: 8.4838 7.1088 7.1088 Å, 112.95 93.10 93.10°
Element x y z (fractional)
Pa 0.0000 0.3266 0.6734
Pa 0.0000 0.6734 0.3266
Ge 0.3759 0.2634 0.2634
Ge 0.6241 0.7366 0.7366
Se 0.8216 0.9600 0.6089
Se 0.1784 0.3911 0.0400
Se 0.1784 0.0400 0.3911
Se 0.8216 0.6089 0.9600
Se 0.5000 0.0000 0.0000
Se 0.1995 0.6089 0.6089
Se 0.8005 0.3911 0.3911

No. 3
This record from the Alexandria database describes PaGeSe6 after structural relaxation. The functional is PBE.

Values from the calculation:
M_tot ... 0.0 μB/cell
DOS(E_F) ... 5.53 states/eV per cell
Symmetry ... C2/m, No. 12
Uncorrected formation energy ... -0.376 eV per atom
E ... -38.03 eV for the cell shown

Cell: 6.6076 6.6076 6.4884 Å, 103.31 103.31 118.15°
Element x y z (fractional)
Pa 0.0000 0.0000 0.0000
Ge 0.5000 0.5000 0.5000
Se 0.1724 0.1724 0.6633
Se 0.4894 0.1512 0.2087
Se 0.8276 0.8276 0.3367
Se 0.8488 0.5106 0.7913
Se 0.5106 0.8488 0.7913
Se 0.1512 0.4894 0.2087